The following is a DFT calculation (GGA-PBEsol) of AcBiAu2 after structural relaxation.

a b c (Å): 5.228 5.228 5.228
angles (deg): 60.00 60.00 60.00
Element x y z (fractional)
Ac  0.500  0.500  0.500
Au  0.250  0.250  0.250
Au  0.750  0.750  0.750
Bi  0.000  0.000  0.000

Output
- Energy: -4.81 eV/atom

=====

The following is a DFT calculation (GGA-PBEsol) of La2CdCo after structural relaxation.

a b c (Å): 4.050 5.565 5.565
angles (deg): 60.02 68.66 68.66
Element x y z (fractional)
Co  0.000  0.500  0.500
La  0.301  0.699  0.699
La  0.699  0.301  0.301
Cd  0.500  0.000  0.000

Output
- Energy: -4.94 eV/atom

=====

The following is a DFT calculation (GGA-PBEsol) of SiPdRhBr2 after structural relaxation.

a b c (Å): 4.535 5.033 5.033
angles (deg): 90.00 90.00 90.00
Site moments in Bohr magnetons follow the coordinates.
Element x y z (fractional)
Br  0.000  0.000  0.500  0.04
Br  0.000  0.500  0.000  0.04
Pd  0.000  0.000  0.000  0.00
Rh  0.500  0.500  0.500  1.05
Si  0.500  0.000  0.000  -0.03

Output
- Energy relative to the elements, uncorrected: 876 meV per atom

=====

The following is a DFT calculation (GGA-PBEsol) of Be2GaRh2 after structural relaxation.

a b c (Å): 2.812 6.276 6.276
angles (deg): 90.00 90.00 90.00
Element x y z (fractional)
Be  0.000  0.622  0.122
Be  0.000  0.122  0.378
Be  0.000  0.378  0.878
Be  0.000  0.878  0.622
Rh  0.500  0.172  0.672
Rh  0.500  0.328  0.172
Rh  0.500  0.672  0.828
Rh  0.500  0.828  0.328
Ga  0.000  0.500  0.500
Ga  0.000  0.000  0.000

Output
- Energy: -6.12 eV/atom

=====

The following is a DFT calculation (GGA-PBEsol) of ScBeRh after structural relaxation.

a b c (Å): 3.154 3.987 3.987
angles (deg): 120.00 90.00 90.00
Element x y z (fractional)
Rh  0.500  0.333  0.667
Be  0.500  0.000  0.000
Sc  0.000  0.667  0.333

Output
- Energy: -6.79 eV/atom

=====

The following is a DFT calculation (GGA-PBEsol) of Li2NiRu after structural relaxation.

a b c (Å): 2.432 4.349 4.349
angles (deg): 90.00 90.00 90.00
Site moments in Bohr magnetons follow the coordinates.
Element x y z (fractional)
Li  0.000  0.000  0.500  0.00
Li  0.000  0.500  0.000  0.00
Ni  0.500  0.500  0.500  0.10
Ru  0.500  0.000  0.000  0.01

Output
- Energy: -4.64 eV/atom

=====

The following is a DFT calculation (GGA-PBEsol) of Y2ScHg after structural relaxation.

a b c (Å): 3.779 5.026 6.225
angles (deg): 113.81 107.67 90.00
Element x y z (fractional)
Sc  0.000  0.500  0.000
Hg  0.500  0.000  0.000
Y  0.777  0.777  0.553
Y  0.223  0.223  0.447

Output
- Energy: -5.44 eV/atom

=====

The following is a DFT calculation (GGA-PBEsol) of Li2InPb after structural relaxation.

a b c (Å): 3.630 3.939 6.008
angles (deg): 90.00 90.00 90.00
Element x y z (fractional)
Li  0.500  0.500  0.254
Li  0.000  0.000  0.990
In  0.500  0.500  0.772
Pb  0.000  0.000  0.484

Output
- Energy: -2.95 eV/atom

=====

The following is a DFT calculation (GGA-PBEsol) of HfTcO2 after structural relaxation.

a b c (Å): 3.268 3.268 6.103
angles (deg): 74.47 74.47 60.00
Site moments in Bohr magnetons follow the coordinates.
Element x y z (fractional)
Tc  0.000  0.000  0.000  1.35
O  0.883  0.883  0.352  0.02
O  0.117  0.117  0.648  0.02
Hf  0.500  0.500  0.500  -0.03

Output
- Energy relative to the elements, uncorrected: -1723 meV per atom

=====

The following is a DFT calculation (GGA-PBEsol) of K23Sn9Au12 after structural relaxation.

a b c (Å): 6.853 14.889 14.889
angles (deg): 86.96 76.69 76.69
Element x y z (fractional)
Sn  0.500  0.000  0.000
Sn  0.500  0.667  0.333
Sn  0.973  0.331  0.000
Sn  0.167  0.333  0.333
Sn  0.696  0.000  0.331
Sn  0.833  0.667  0.667
Sn  0.304  0.669  0.000
Sn  0.500  0.333  0.667
Sn  0.027  0.000  0.669
Au  0.564  0.839  0.343
Au  0.746  0.161  0.657
Au  0.597  0.657  0.839
Au  0.403  0.161  0.343
Au  0.762  0.000  0.832
Au  0.238  0.168  0.000
Au  0.093  0.343  0.161
Au  0.406  0.832  0.000
Au  0.594  0.000  0.168
Au  0.436  0.657  0.161
Au  0.254  0.343  0.839
Au  0.907  0.839  0.657
K  0.054  0.561  0.240
K  0.250  0.500  0.500
K  0.615  0.439  0.240
K  0.152  0.000  0.433
K  0.585  0.000  0.567
K  0.294  0.561  0.760
K  0.385  0.760  0.561
K  0.216  0.869  0.215
K  0.946  0.760  0.439
K  0.415  0.433  0.000
K  0.848  0.567  0.000
K  0.784  0.785  0.131
K  0.569  0.215  0.131
K  0.431  0.869  0.785
K  0.701  0.215  0.869
K  0.000  0.000  0.000
K  0.085  0.131  0.215
K  0.750  0.500  0.500
K  0.706  0.240  0.439
K  0.145  0.240  0.561
K  0.915  0.785  0.869
K  0.855  0.439  0.760
K  0.299  0.131  0.785

Output
- Energy: -2.82 eV/atom

=====

The following is a DFT calculation (GGA-PBEsol) of Lu4B6O15 after structural relaxation.

a b c (Å): 4.315 6.119 18.309
angles (deg): 95.84 90.00 110.65
Element x y z (fractional)
Lu  0.339  0.276  0.102
Lu  0.063  0.724  0.398
Lu  0.661  0.724  0.898
Lu  0.076  0.728  0.196
Lu  0.651  0.728  0.696
Lu  0.937  0.276  0.602
Lu  0.349  0.272  0.304
Lu  0.924  0.272  0.804
O  0.908  0.420  0.051
O  0.746  0.747  0.018
O  0.552  0.838  0.571
O  0.122  0.000  0.750
O  0.470  0.135  0.198
O  0.999  0.253  0.482
O  0.665  0.135  0.698
O  0.690  0.628  0.295
O  0.433  0.356  0.860
O  0.335  0.865  0.302
O  0.714  0.162  0.929
O  0.567  0.644  0.140
O  0.511  0.420  0.551
O  0.077  0.644  0.640
O  0.190  0.038  0.620
O  0.938  0.628  0.795
O  0.062  0.372  0.205
O  0.092  0.580  0.949
O  0.810  0.962  0.380
O  0.923  0.356  0.360
O  0.286  0.838  0.071
O  0.254  0.253  0.982
O  0.152  0.962  0.880
O  0.530  0.865  0.802
O  0.848  0.038  0.120
O  0.489  0.580  0.449
O  0.878  0.000  0.250
O  0.448  0.162  0.429
O  0.310  0.372  0.705
O  0.001  0.747  0.518
B  0.611  0.813  0.086
B  0.202  0.813  0.586
B  0.663  0.859  0.305
B  0.355  0.335  0.475
B  0.020  0.665  0.025
B  0.389  0.187  0.914
B  0.980  0.335  0.975
B  0.645  0.665  0.525
B  0.798  0.187  0.414
B  0.804  0.141  0.195
B  0.196  0.859  0.805
B  0.337  0.141  0.695

Output
- Energy relative to the elements, uncorrected: -3045 meV per atom

=====

The following is a DFT calculation (GGA-PBEsol) of Al2RhPb2 after structural relaxation.

a b c (Å): 3.543 3.543 8.984
angles (deg): 101.37 101.37 90.00
Element x y z (fractional)
Pb  0.409  0.409  0.819
Pb  0.591  0.591  0.181
Al  0.250  0.750  0.500
Al  0.750  0.250  0.500
Rh  0.000  0.000  0.000

Output
- Energy: -4.54 eV/atom

=====

The following is a DFT calculation (GGA-PBEsol) of BeAlPb2 after structural relaxation.

a b c (Å): 3.993 4.353 5.091
angles (deg): 90.00 90.00 90.00
Element x y z (fractional)
Pb  0.000  0.000  0.000
Pb  0.000  0.500  0.500
Al  0.500  0.500  0.000
Be  0.500  0.000  0.500

Output
- Energy: -3.47 eV/atom

=====

The following is a DFT calculation (GGA-PBEsol) of BaYOs2 after structural relaxation.

a b c (Å): 3.051 4.561 6.817
angles (deg): 90.00 98.90 90.00
Element x y z (fractional)
Ba  0.000  0.500  0.500
Y  0.500  0.500  0.000
Os  0.254  0.000  0.163
Os  0.746  0.000  0.837

Output
- Energy: -7.67 eV/atom

=====

The following is a DFT calculation (GGA-PBEsol) of TlCl after structural relaxation.

a b c (Å): 3.752 3.752 3.752
angles (deg): 90.00 90.00 90.00
Element x y z (fractional)
Cl  0.500  0.500  0.500
Tl  0.000  0.000  0.000

Output
- Energy relative to the elements, uncorrected: -915 meV per atom

=====

The following is a DFT calculation (GGA-PBEsol) of NaGaBr2 after structural relaxation.

a b c (Å): 6.555 6.555 8.375
angles (deg): 113.04 113.04 90.00
Element x y z (fractional)
Ga  0.250  0.750  0.500
Ga  0.000  0.000  0.000
Na  0.500  0.500  0.000
Na  0.750  0.250  0.500
Br  0.625  0.608  0.750
Br  0.392  0.875  0.250
Br  0.858  0.375  0.250
Br  0.125  0.142  0.750

Output
- Energy relative to the elements, uncorrected: -877 meV per atom

=====

The following is a DFT calculation (GGA-PBEsol) of AlIr2Cl after structural relaxation.

a b c (Å): 4.067 4.510 4.067
angles (deg): 63.20 90.00 116.80
Element x y z (fractional)
Cl  0.000  0.000  0.000
Ir  0.250  0.500  0.250
Ir  0.750  0.500  0.750
Al  0.500  0.000  0.500

Output
- Energy relative to the elements, uncorrected: 452 meV per atom

=====

The following is a DFT calculation (GGA-PBEsol) of NbAsSe2N after structural relaxation.

a b c (Å): 4.957 4.957 5.019
angles (deg): 90.00 90.00 90.00
Site moments in Bohr magnetons follow the coordinates.
Element x y z (fractional)
N  0.500  0.500  0.500  1.79
Se  0.500  0.000  0.000  -0.02
Se  0.000  0.500  0.000  -0.02
As  0.000  0.000  0.500  -0.21
Nb  0.000  0.000  0.000  0.12

Output
- Energy relative to the elements, uncorrected: 1052 meV per atom

=====

The following is a DFT calculation (GGA-PBEsol) of Li2PtAu after structural relaxation.

a b c (Å): 2.755 2.755 7.299
angles (deg): 90.00 90.00 90.00
Element x y z (fractional)
Li  0.000  0.000  0.763
Li  0.000  0.000  0.237
Pt  0.500  0.500  0.000
Au  0.500  0.500  0.500

Output
- Energy: -4.20 eV/atom

=====

The following is a DFT calculation (GGA-PBEsol) of Ca2TaAg after structural relaxation.

a b c (Å): 3.047 5.517 5.756
angles (deg): 101.75 90.00 106.03
Element x y z (fractional)
Ag  0.500  0.000  0.000
Ta  0.000  0.000  0.500
Ca  0.763  0.525  0.749
Ca  0.237  0.475  0.251

Output
- Energy: -4.39 eV/atom

=====

Number 1: size of the total moment 0.0 μB per formula unit. Number 2: size of the total moment 0.0 μB per formula unit. Number 3: size of the total moment 1.1 μB per formula unit. Number 4: size of the total moment 0.0 μB per formula unit. Number 5: size of the total moment 0.0 μB per formula unit. Number 6: size of the total moment 0.1 μB per formula unit. Number 7: size of the total moment 0.0 μB per formula unit. Number 8: size of the total moment 0.0 μB per formula unit. Number 9: size of the total moment 1.4 μB per formula unit. Number 10: size of the total moment 0.0 μB per formula unit. Number 11: size of the total moment 0.0 μB per formula unit. Number 12: size of the total moment 0.0 μB per formula unit. Number 13: size of the total moment 0.0 μB per formula unit. Number 14: size of the total moment 0.0 μB per formula unit. Number 15: size of the total moment 0.0 μB per formula unit. Number 16: size of the total moment 0.0 μB per formula unit. Number 17: size of the total moment 0.0 μB per formula unit. Number 18: size of the total moment 2.3 μB per formula unit. Number 19: size of the total moment 0.0 μB per formula unit. Number 20: size of the total moment 0.0 μB per formula unit.